Entry from Alexandria via LeMat-Bulk: a geometry-optimized BeZn2Br structure (PBE).

```
BeZn2Br
1.0
1.675 0.967 7.288
-1.675 0.967 7.288
0.000 -1.934 7.288
Be Zn Br
1 2 1
Direct
0.000 0.000 0.000
0.263 0.263 0.263
0.737 0.737 0.737
0.500 0.500 0.500
```

Calculated values
- ΔE_f (raw) (kJ/mol of atoms) = 20
- magnetic moment (μB per atom) = 0.000
- distance to the lowest polymorph of the same formula (meV per atom) = 282

Entry from Alexandria via LeMat-Bulk: a geometry-optimized BeZn2Br structure (PBE).

```
BeZn2Br
1.0
3.686 -2.111 0.000
3.686 2.111 0.000
-1.930 0.000 5.517
Be Zn Br
1 2 1
Direct
0.000 0.000 0.000
0.305 0.305 0.889
0.645 0.645 0.919
0.072 0.072 0.390
```

Calculated values
- ΔE_f (raw) (kJ/mol of atoms) = -7
- magnetic moment (μB per atom) = 0.000
- distance to the lowest polymorph of the same formula (meV per atom) = 0

Entry from Alexandria via LeMat-Bulk: a geometry-optimized Be2ZnBr structure (PBE).

```
Be2ZnBr
1.0
0.000 3.241 3.241
3.241 0.000 3.241
3.241 3.241 0.000
Be Zn Br
2 1 1
Direct
0.000 0.000 0.000
0.250 0.250 0.250
0.750 0.750 0.750
0.500 0.500 0.500
```

Calculated values
- ΔE_f (raw) (kJ/mol of atoms) = 110
- magnetic moment (μB per atom) = 0.000
- distance to the lowest polymorph of the same formula (meV per atom) = 1097